# 1
Material: Si2AsH
Method: DFT, PBE-GGA
State: relaxed

a = 4.2927 Å, b = 4.2927 Å, c = 4.2927 Å
α = 60.00°, β = 60.00°, γ = 60.00°
Fractional positions:
H  0.0000  0.0000  0.0000
As  0.5000  0.5000  0.5000
Si  0.2500  0.2500  0.2500
Si  0.7500  0.7500  0.7500

Output
The calculation puts the density at 3.92 Mg/m³. The energy above the most stable polymorph in this dataset is 228 meV/atom. For the volume, the calculation gives 55.9 Å³ per cell. Its total energy is -3.99 eV per atom. As for the symmetry: No. 225.

***

# 2
Material: MgAlCd2
Method: DFT, PBE-GGA
State: relaxed

a = 3.2024 Å, b = 4.3526 Å, c = 5.9811 Å
α = 90.00°, β = 90.00°, γ = 90.00°
Fractional positions:
Mg  0.0000  0.0000  0.5026
Al  0.5000  0.5000  0.7495
Cd  0.0000  0.0000  0.9909
Cd  0.5000  0.5000  0.2569

Output
The calculation puts the formation energy at 0.11 eV/f.u. The calculation puts the density at 5.50 Mg/m³. For the volume, the calculation gives 83.4 Å³ per cell. Its total energy is -1.76 eV per atom. As for the symmetry: No. 25.

***

# 3
Material: LiCuP2
Method: DFT, PBE-GGA
State: relaxed

a = 4.6300 Å, b = 2.6938 Å, c = 4.5047 Å
α = 90.02°, β = 90.00°, γ = 90.00°
Fractional positions:
Cu  0.0000  0.2499  0.5101
Li  0.5000  0.7500  0.7436
P  0.0000  0.2500  0.0078
P  0.5000  0.2501  0.2385

Output
The calculation puts the formation energy at -0.29 eV/f.u. The calculation puts the density at 3.91 Mg/m³. The energy above the most stable polymorph in this dataset is 93 meV/atom. For the volume, the calculation gives 56.2 Å³ per cell. Its total energy is -4.28 eV per atom. As for the symmetry: No. 25.

***

# 4
Material: Ba2Li3AgSn4
Method: DFT, PBE-GGA
State: relaxed

a = 4.8281 Å, b = 4.8281 Å, c = 11.5751 Å
α = 90.00°, β = 90.00°, γ = 90.00°
Fractional positions:
Ba  0.5000  0.0000  0.2546
Ba  0.0000  0.5000  0.7454
Li  0.0000  0.0000  0.5000
Li  0.5000  0.0000  0.8664
Li  0.0000  0.5000  0.1336
Ag  0.5000  0.5000  0.5000
Sn  0.5000  0.5000  0.0000
Sn  0.0000  0.0000  0.0000
Sn  0.5000  0.0000  0.6218
Sn  0.0000  0.5000  0.3782

Output
The calculation puts the formation energy at -4.45 eV/f.u. The calculation puts the density at 5.40 Mg/m³. For the volume, the calculation gives 269.8 Å³ per cell. Its total energy is -3.29 eV per atom. As for the symmetry: No. 115.

***

# 5
Material: La2Pm2O
Method: DFT, PBE-GGA
State: relaxed

a = 5.0082 Å, b = 5.2303 Å, c = 5.2303 Å
α = 90.00°, β = 90.00°, γ = 90.00°
Fractional positions:
La  0.0000  0.0000  0.5000
La  0.0000  0.5000  0.0000
Pm  0.5000  0.5000  0.5000
Pm  0.5000  0.0000  0.0000
O  0.0000  0.0000  0.0000

Output
The uncorrected formation energy comes out at -108 kJ/mol of atoms. The calculation puts the density at 7.08 Mg/m³. For the volume, the calculation gives 137.0 Å³ per cell. Its total energy is -5.98 eV per atom. As for the symmetry: No. 123.

***

# 6
Material: ZrTl2Os2
Method: DFT, PBE-GGA
State: relaxed

a = 3.9698 Å, b = 3.9698 Å, c = 7.3246 Å
α = 74.28°, β = 74.28°, γ = 90.00°
Fractional positions:
Tl  0.7500  0.2500  0.5000
Tl  0.2500  0.7500  0.5000
Os  0.4130  0.4130  0.1741
Os  0.5870  0.5870  0.8259
Zr  0.0000  0.0000  0.0000

Output
The calculation puts the formation energy at 3.79 eV/f.u. The calculation puts the density at 13.71 Mg/m³. The energy above the most stable polymorph in this dataset is 222 meV/atom. For the volume, the calculation gives 106.6 Å³ per cell. Its total energy is -6.39 eV per atom. As for the symmetry: No. 139.

***

# 7
Material: BaNaTlCl6
Method: DFT, PBE-GGA
State: relaxed

a = 7.0737 Å, b = 7.0737 Å, c = 6.6091 Å
α = 90.01°, β = 89.99°, γ = 59.97°
Fractional positions:
Ba  0.0000  0.0000  0.0000
Na  0.6665  0.6666  0.5000
Tl  0.3333  0.3334  0.5000
Cl  0.0183  0.3523  0.2707
Cl  0.3523  0.0183  0.7293
Cl  0.6292  0.3526  0.7294
Cl  0.0179  0.6297  0.7290
Cl  0.3525  0.6292  0.2706
Cl  0.6297  0.0179  0.2709

Output
The uncorrected formation energy comes out at -148 kJ/mol of atoms. The calculation puts the density at 3.35 Mg/m³. For the volume, the calculation gives 286.3 Å³ per cell. Its total energy is -3.38 eV per atom. As for the symmetry: No. 149.

***

# 8
Material: Rb2AlCl7
Method: DFT, PBE-GGA
State: relaxed

a = 7.8967 Å, b = 7.8967 Å, c = 7.4586 Å
α = 58.04°, β = 58.04°, γ = 90.00°
Fractional positions:
Al  0.5000  0.5000  0.0000
Rb  0.7500  0.2500  0.5000
Rb  0.2500  0.7500  0.5000
Cl  0.0000  0.0000  0.0000
Cl  0.2310  0.2310  0.5381
Cl  0.7690  0.7690  0.4619
Cl  0.2980  0.2980  0.0000
Cl  0.7020  0.7020  0.0000
Cl  0.7020  0.2980  0.0000
Cl  0.2980  0.7020  0.0000

Output
The uncorrected formation energy comes out at -129 kJ/mol of atoms. The calculation puts the density at 2.40 Mg/m³. For the volume, the calculation gives 308.4 Å³ per cell. Its total energy is -3.19 eV per atom. As for the symmetry: No. 139.

***

# 9
Material: Zn2SbTe
Method: DFT, PBE-GGA
State: relaxed

a = 3.7275 Å, b = 3.7275 Å, c = 7.8121 Å
α = 90.00°, β = 90.00°, γ = 114.48°
Fractional positions:
Sb  0.5000  0.5000  0.2500
Te  0.5000  0.5000  0.7500
Zn  0.0000  0.0000  0.9991
Zn  0.0000  0.0000  0.5009

Output
The uncorrected formation energy comes out at 16 kJ/mol of atoms. The calculation puts the density at 6.39 Mg/m³. For the volume, the calculation gives 98.8 Å³ per cell. Its total energy is -2.29 eV per atom. As for the symmetry: No. 65.

***

# 10
Material: TlN2Cl
Method: DFT, PBE-GGA
State: relaxed

a = 4.5145 Å, b = 4.5145 Å, c = 4.5145 Å
α = 60.00°, β = 60.00°, γ = 60.00°
Site moments in Bohr magnetons follow the coordinates.
Fractional positions:
Tl  0.5000  0.5000  0.5000  -0.07
N  0.2500  0.2500  0.2500  1.25
N  0.7500  0.7500  0.7500  1.25
Cl  0.0000  0.0000  0.0000  0.50

Output
The uncorrected formation energy comes out at 215 kJ/mol of atoms. The calculation puts the density at 6.84 Mg/m³. The energy above the most stable polymorph in this dataset is 2688 meV/atom. For the volume, the calculation gives 65.1 Å³ per cell. Its total energy is -2.99 eV per atom. As for the symmetry: No. 225.

***

# 11
Material: RbScFeSe3
Method: DFT, PBE-GGA
State: relaxed

a = 3.9492 Å, b = 9.2985 Å, c = 9.8087 Å
α = 112.36°, β = 90.00°, γ = 90.00°
Site moments in Bohr magnetons follow the coordinates.
Fractional positions:
Rb  0.2500  0.2121  0.2375  0.00
Rb  0.7500  0.7879  0.7625  0.00
Sc  0.2500  0.6639  0.1407  0.04
Sc  0.7500  0.3361  0.8593  0.04
Fe  0.2500  0.0741  0.5917  3.13
Fe  0.7500  0.9259  0.4083  3.13
Se  0.7500  0.8736  0.1475  0.10
Se  0.2500  0.1264  0.8525  0.10
Se  0.2500  0.7880  0.4552  0.14
Se  0.7500  0.2120  0.5448  0.14
Se  0.7500  0.4698  0.1534  0.03
Se  0.2500  0.5302  0.8466  0.03

Output
The uncorrected formation energy comes out at -111 kJ/mol of atoms. The calculation puts the density at 4.22 Mg/m³. For the volume, the calculation gives 333.1 Å³ per cell. Its total energy is -5.52 eV per atom. As for the symmetry: No. 11.

***

# 12
Material: Y2Ir2Os
Method: DFT, PBE-GGA
State: relaxed

a = 6.7409 Å, b = 6.7409 Å, c = 4.4266 Å
α = 90.00°, β = 90.00°, γ = 90.00°
Fractional positions:
Y  0.1794  0.6794  0.5000
Y  0.6794  0.8206  0.5000
Y  0.8206  0.3206  0.5000
Y  0.3206  0.1794  0.5000
Ir  0.3657  0.8657  0.0000
Ir  0.8657  0.6343  0.0000
Ir  0.6343  0.1343  0.0000
Ir  0.1343  0.3657  0.0000
Os  0.0000  0.0000  0.0000
Os  0.5000  0.5000  0.0000

Output
The calculation puts the formation energy at -2.11 eV/f.u. The calculation puts the density at 12.42 Mg/m³. For the volume, the calculation gives 201.1 Å³ per cell. Its total energy is -8.80 eV per atom. As for the symmetry: No. 127.

***

# 13
Material: SrIrRh2
Method: DFT, PBE-GGA
State: relaxed

a = 2.8432 Å, b = 3.9237 Å, c = 6.6691 Å
α = 90.00°, β = 90.00°, γ = 90.00°
Fractional positions:
Ir  0.5000  0.5000  0.8182
Rh  0.0000  0.0000  0.9822
Rh  0.5000  0.5000  0.2014
Sr  0.0000  0.0000  0.4981

Output
The calculation puts the formation energy at 0.87 eV/f.u. The calculation puts the density at 10.84 Mg/m³. The energy above the most stable polymorph in this dataset is 352 meV/atom. For the volume, the calculation gives 74.4 Å³ per cell. Its total energy is -6.09 eV per atom. As for the symmetry: No. 25.

***

# 14
Material: Cs2HgI2F2
Method: DFT, PBE-GGA
State: relaxed

a = 5.2566 Å, b = 5.2566 Å, c = 9.6522 Å
α = 105.80°, β = 105.80°, γ = 90.00°
Fractional positions:
Cs  0.3956  0.3956  0.7912
Cs  0.6044  0.6044  0.2088
Hg  0.0000  0.0000  0.0000
I  0.1559  0.1559  0.3118
I  0.8441  0.8441  0.6882
F  0.0000  0.5000  0.0000
F  0.5000  0.0000  0.0000

Output
The uncorrected formation energy comes out at -155 kJ/mol of atoms. The calculation puts the density at 5.12 Mg/m³. For the volume, the calculation gives 246.1 Å³ per cell. Its total energy is -2.88 eV per atom. As for the symmetry: No. 139.

***

# 15
Material: Sc2BiSe
Method: DFT, PBE-GGA
State: relaxed

a = 8.1531 Å, b = 8.1531 Å, c = 8.1531 Å
α = 32.29°, β = 32.29°, γ = 32.29°
Fractional positions:
Sc  0.8939  0.8939  0.8939
Sc  0.1061  0.1061  0.1061
Bi  0.5000  0.5000  0.5000
Se  0.0000  0.0000  0.0000

Output
The uncorrected formation energy comes out at -59 kJ/mol of atoms. The calculation puts the density at 4.56 Mg/m³. The energy above the most stable polymorph in this dataset is 495 meV/atom. For the volume, the calculation gives 137.5 Å³ per cell. Its total energy is -5.62 eV per atom. As for the symmetry: No. 166.

***

# 16
Material: PmHf2Zn6
Method: DFT, PBE-GGA
State: relaxed

a = 3.1868 Å, b = 7.6892 Å, c = 7.6892 Å
α = 120.00°, β = 90.00°, γ = 90.00°
Fractional positions:
Pm  0.0000  0.0000  0.0000
Hf  0.0000  0.3333  0.6667
Hf  0.0000  0.6667  0.3333
Zn  0.5000  0.3414  0.3414
Zn  0.5000  0.6586  0.6586
Zn  0.5000  0.0000  0.6586
Zn  0.5000  0.6586  0.0000
Zn  0.5000  0.3414  0.0000
Zn  0.5000  0.0000  0.3414

Output
The calculation puts the formation energy at -2.05 eV/f.u. The calculation puts the density at 9.10 Mg/m³. For the volume, the calculation gives 163.2 Å³ per cell. Its total energy is -3.82 eV per atom. As for the symmetry: No. 191.

***

# 17
Material: HoTm2B6
Method: DFT, PBE-GGA
State: relaxed

a = 3.8050 Å, b = 5.6518 Å, c = 5.6518 Å
α = 120.00°, β = 90.00°, γ = 90.00°
Fractional positions:
Ho  0.0000  0.0000  0.0000
Tm  0.0000  0.3333  0.6667
Tm  0.0000  0.6667  0.3333
B  0.5000  0.3344  0.3344
B  0.5000  0.6656  0.6656
B  0.5000  0.0000  0.6656
B  0.5000  0.6656  0.0000
B  0.5000  0.3344  0.0000
B  0.5000  0.0000  0.3344

Output
The calculation puts the formation energy at -5.72 eV/f.u. The calculation puts the density at 8.96 Mg/m³. For the volume, the calculation gives 105.3 Å³ per cell. Its total energy is -6.59 eV per atom. As for the symmetry: No. 191.

***

# 18
Material: SrO5
Method: DFT, PBE-GGA
State: relaxed

a = 4.0481 Å, b = 4.1446 Å, c = 8.7723 Å
α = 109.93°, β = 90.00°, γ = 119.23°
Site moments in Bohr magnetons follow the coordinates.
Fractional positions:
Sr  0.9960  0.9921  0.0592  0.00
O  0.4600  0.9199  0.6362  0.78
O  0.6845  0.3691  0.3295  0.69
O  0.5261  0.0522  0.7904  0.74
O  0.8526  0.7053  0.3164  0.72
O  0.3141  0.6281  0.0350  0.36

Output
The uncorrected formation energy comes out at -75 kJ/mol of atoms. The calculation puts the density at 2.35 Mg/m³. For the volume, the calculation gives 118.2 Å³ per cell. Its total energy is -5.19 eV per atom. As for the symmetry: No. 8.

***

# 19
Material: TiVGa2
Method: DFT, PBE-GGA
State: relaxed

a = 3.8431 Å, b = 2.7236 Å, c = 8.8828 Å
α = 107.99°, β = 90.00°, γ = 134.87°
Fractional positions:
Ti  0.5000  0.5000  0.0000
V  0.0000  0.5000  0.5000
Ga  0.2580  0.0160  0.2578
Ga  0.7420  0.9840  0.7422

Output
The calculation puts the formation energy at -1.26 eV/f.u. The calculation puts the density at 6.67 Mg/m³. The energy above the most stable polymorph in this dataset is 18 meV/atom. For the volume, the calculation gives 59.3 Å³ per cell. Its total energy is -6.08 eV per atom. As for the symmetry: No. 65.

***

# 20
Material: Sn6Te5I
Method: DFT, PBE-GGA
State: relaxed

a = 8.1895 Å, b = 7.7853 Å, c = 7.7008 Å
α = 59.64°, β = 81.14°, γ = 72.26°
Fractional positions:
Sn  0.7399  0.0871  0.3528
Sn  0.2601  0.5601  0.3528
Sn  0.2498  0.2701  0.0000
Sn  0.7502  0.7299  0.0000
Sn  0.7399  0.4399  0.6472
Sn  0.2601  0.9129  0.6472
Te  0.5000  0.1641  0.6718
Te  0.0000  0.3331  0.3338
Te  0.5000  0.5000  0.0000
Te  0.0000  0.6669  0.6662
Te  0.5000  0.8359  0.3282
I  0.0000  0.0000  0.0000

Output
The uncorrected formation energy comes out at -23 kJ/mol of atoms. The calculation puts the density at 6.08 Mg/m³. For the volume, the calculation gives 403.5 Å³ per cell. Its total energy is -3.68 eV per atom. As for the symmetry: No. 12.